Entry 1:
First-principles (PBE-GGA) data for a geometry-optimized Ga4Pd2Pt structure, as listed in the Alexandria database.

Results
The value obtained for the distance to the lowest polymorph of the same formula is 242 meV per atom. The calculation puts the volume at 287.9 Å³/cell. Its formation enthalpy at 0 K is -0.244 eV/atom.

a b c (Å): 4.7854 4.7854 12.5723
angles (deg): 90.00 90.00 90.00
Space group I4/mmm (No. 139)
Asymmetric unit:
1 Ga 0.0000 0.0000 0.1994 x4
2 Ga 0.0000 0.5000 0.0000 x4
3 Pd 0.0000 0.0000 0.3930 x4
4 Pt 0.0000 0.0000 0.0000 x2

***

Entry 2:
First-principles (PBE-GGA) data for a geometry-optimized GaPd5Pt2 structure, as listed in the Alexandria database.

Results
The value obtained for the distance to the lowest polymorph of the same formula is 30 meV per atom. The calculation puts the volume at 499.5 Å³/cell. Its formation enthalpy at 0 K is -0.211 eV/atom.

a b c (Å): 3.9453 8.7500 14.4695
angles (deg): 90.00 90.00 90.00
Space group Cmcm (No. 63)
Asymmetric unit:
1 Ga 0.0000 0.1496 0.2500 x4
2 Pd 0.0000 0.0405 0.0933 x8
3 Pd 0.0000 0.3483 0.0317 x8
4 Pd 0.0000 0.4472 0.2500 x4
5 Pt 0.0000 0.2533 0.6533 x8

***

Entry 3:
First-principles (PBE-GGA) data for a geometry-optimized Ga6PdPt3 structure, as listed in the Alexandria database.

Results
The calculation puts the volume at 351.0 Å³/cell. Its formation enthalpy at 0 K is -0.508 eV/atom.

a b c (Å): 6.9607 6.0380 9.7636
angles (deg): 90.00 121.20 90.00
Space group P2_1/c (No. 14)
Asymmetric unit:
1 Ga 0.0805 0.0148 0.2864 x4
2 Ga 0.2632 0.1726 0.6047 x4
3 Ga 0.3911 0.6217 0.5674 x4
4 Pd 0.5000 0.0000 0.5000 x2
5 Pt 0.0000 0.0000 0.0000 x2
6 Pt 0.2902 0.6672 0.2666 x4

***

Entry 4:
First-principles (PBE-GGA) data for a geometry-optimized GaPd7Pt2 structure, as listed in the Alexandria database.

Results
The calculation puts the volume at 399.1 Å³/cell. Its formation enthalpy at 0 K is 0.311 eV/atom.

a b c (Å): 7.2665 12.7208 4.3174
angles (deg): 90.00 90.00 90.00
Space group Cmmm (No. 65)
Asymmetric unit:
1 Ga 0.0000 0.0000 0.0000 x2
2 Pd 0.0000 0.1933 0.0000 x4
3 Pd 0.0000 0.5000 0.5000 x2
4 Pd 0.1830 0.1066 0.5000 x8
5 Pt 0.0000 0.2992 0.5000 x4

***

Entry 5:
First-principles (PBE-GGA) data for a geometry-optimized GaPd8Pt2 structure, as listed in the Alexandria database.

Results
The value obtained for the distance to the lowest polymorph of the same formula is 0 meV per atom. The calculation puts the volume at 335.8 Å³/cell. Its formation enthalpy at 0 K is -0.193 eV/atom.

a b c (Å): 14.1847 3.9588 6.1947
angles (deg): 90.00 105.11 90.00
Space group C2/m (No. 12)
Asymmetric unit:
1 Ga 0.0000 0.0000 0.0000 x2
2 Pd 0.0444 0.5000 0.7304 x4
3 Pd 0.0897 0.0000 0.4455 x4
4 Pd 0.1345 0.5000 0.1763 x4
5 Pd 0.1803 0.0000 0.9084 x4
6 Pt 0.2250 0.5000 0.6326 x4

***

Entry 6:
First-principles (PBE-GGA) data for a geometry-optimized Ga4Pd2Pt structure, as listed in the Alexandria database.

Results
The value obtained for the distance to the lowest polymorph of the same formula is 0 meV per atom. The calculation puts the volume at 238.3 Å³/cell. Its formation enthalpy at 0 K is -0.486 eV/atom.

a b c (Å): 13.3346 3.2959 6.0577
angles (deg): 90.00 116.49 90.00
Space group C2/m (No. 12)
Asymmetric unit:
1 Ga 0.0952 0.0000 0.4734 x4
2 Ga 0.1309 0.5000 0.9269 x4
3 Pd 0.2437 0.0000 0.2894 x4
4 Pt 0.0000 0.0000 0.0000 x2

***

| no. | electronic total energy (eV for the cell shown) |
| --- | --- |
| 1 | -60.5 |
| 2 | -171.0 |
| 3 | -93.1 |
| 4 | -96.7 |
| 5 | -117.6 |
| 6 | -63.9 |